Here is crystalline CsNa2Sr2 at its relaxed geometry from Alexandria. Energies are from PBE.

Values from the calculation:
Crystal system = tetragonal
Polymorph energy (0 for the lowest one) = 12 meV per atom
Space group = P4/mbm
ΔE_f = 0.103 eV per atom

Unit cell a=11.5882 b=11.5882 c=4.2521 alpha=90.00 beta=90.00 gamma=90.00
With the nearest neighbours (Å) after each atom.
Fractional coordinates of all 10 atoms:
Na1 0.6675 0.8325 0.5000  6 Sr 4.02, 2 Na 4.25
Sr1 0.8759 0.6241 0.0000  6 Na 4.02, 3 Sr 4.07-4.25
Cs1 0.5000 0.5000 0.0000  2 Cs 4.25, 4 Sr 4.59
Na2 0.8325 0.3325 0.5000  6 Sr 4.02, 2 Na 4.25
Sr2 0.6241 0.1241 0.0000  6 Na 4.02, 3 Sr 4.07-4.25
Cs2 0.0000 0.0000 0.0000  2 Cs 4.25, 4 Sr 4.59
Na3 0.1675 0.6675 0.5000  6 Sr 4.02, 2 Na 4.25
Sr3 0.1241 0.3759 0.0000  6 Na 4.02, 3 Sr 4.07-4.25
Na4 0.3325 0.1675 0.5000  6 Sr 4.02, 2 Na 4.25
Sr4 0.3759 0.8759 0.0000  6 Na 4.02, 3 Sr 4.07-4.25

***

Here is crystalline HfSc2CdAg at its relaxed geometry from Alexandria. Energies are from PBE.

Values from the calculation:
Crystal system = tetragonal
Space group = P4/mmm
ΔE_f = 0.857 eV per atom

Unit cell a=5.2296 b=5.2296 c=5.1179 alpha=90.00 beta=90.00 gamma=90.00
With the nearest neighbours (Å) after each atom.
Fractional coordinates of all 5 atoms:
Sc1 0.0000 0.5000 0.0000  2 Hf 2.61
Ag1 0.0000 0.0000 0.5000  2 Hf 2.56
Sc2 0.5000 0.0000 0.0000  2 Hf 2.61
Cd1 0.5000 0.5000 0.5000  8 Sc 3.66, 4 Ag 3.70
Hf1 0.0000 0.0000 0.0000  2 Ag 2.56, 4 Sc 2.61

***

Here is crystalline SrTmNi2P2 at its relaxed geometry from Alexandria. Energies are from PBE.

Values from the calculation:
Crystal system = trigonal
Space group = P-3m1
ΔE_f = -1.051 eV per atom

Unit cell a=3.9124 b=3.9124 c=8.2294 alpha=90.00 beta=90.00 gamma=120.00
With the nearest neighbours (Å) after each atom.
Fractional coordinates of all 6 atoms:
Sr1 0.0000 0.0000 0.0000  6 P 3.19, 6 Ni 3.20
P1 0.3333 0.6667 0.2734  3 Ni 2.26
P2 0.6667 0.3333 0.7266  3 Ni 2.26
Ni1 0.3333 0.6667 0.7244  3 P 2.26
Tm1 0.0000 0.0000 0.5000  6 Ni 2.92, 6 P 2.93
Ni2 0.6667 0.3333 0.2756  3 P 2.26

***

Here is crystalline Pa3B2C4 at its relaxed geometry from Alexandria. Energies are from PBE.

Values from the calculation:
Crystal system = orthorhombic
Space group = Immm
ΔE_f = -0.538 eV per atom

Unit cell a=3.4586 b=6.4503 c=6.4503 alpha=57.72 beta=74.45 gamma=74.45
With the nearest neighbours (Å) after each atom.
Fractional coordinates of all 9 atoms:
B1 0.0000 0.8551 0.1449  2 C 1.57
B2 0.0000 0.1449 0.8551  2 C 1.57
Pa1 0.6932 0.8068 0.8068  6 C 2.41-2.51
Pa2 0.3068 0.1932 0.1932  6 C 2.41-2.51
C1 0.1269 0.1414 0.6047  1 B 1.57
C2 0.1269 0.6047 0.1414  1 B 1.57
C3 0.8731 0.3953 0.8586  1 B 1.57
C4 0.8731 0.8586 0.3953  1 B 1.57
Pa3 0.5000 0.5000 0.5000  8 C 2.63, 4 B 2.81

***

Here is crystalline HfHgOs2 at its relaxed geometry from Alexandria. Energies are from PBE.

Values from the calculation:
Crystal system = tetragonal
Space group = I-42d
ΔE_f = 0.727 eV per atom

Unit cell a=4.0836 b=4.0836 c=9.9300 alpha=78.13 beta=78.13 gamma=90.00
With the nearest neighbours (Å) after each atom.
Fractional coordinates of all 8 atoms:
Hg1 0.0000 0.0000 0.0000  4 Hf 2.89, 4 Os 2.91
Os1 0.5477 0.1250 0.2500  2 Os 2.48, 2 Hf 2.68
Os2 0.8750 0.7977 0.7500  2 Os 2.48, 2 Hf 2.68
Os3 0.3750 0.4523 0.7500  2 Os 2.48, 2 Hf 2.68
Os4 0.2023 0.6250 0.2500  2 Os 2.48, 2 Hf 2.68
Hf1 0.5000 0.5000 0.0000  4 Os 2.68, 4 Hg 2.89
Hf2 0.2500 0.7500 0.5000  4 Os 2.68, 4 Hg 2.89
Hg2 0.7500 0.2500 0.5000  4 Hf 2.89, 4 Os 2.91

***

Here is crystalline CsAsPBr2 at its relaxed geometry from Alexandria. Energies are from PBE.

Values from the calculation:
Crystal system = tetragonal
Polymorph energy (0 for the lowest one) = 1180 meV per atom
Space group = P4/mmm

Unit cell a=7.0308 b=7.0308 c=8.4004 alpha=90.00 beta=90.00 gamma=90.00
With the nearest neighbours (Å) after each atom.
Fractional coordinates of all 5 atoms:
Cs1 0.0000 0.0000 0.0000  4 Br 3.52
As1 0.0000 0.0000 0.5000  2 Cs 4.20
P1 0.5000 0.5000 0.5000  4 As 4.97, 8 Br 5.48
Br1 0.0000 0.5000 0.0000  2 Cs 3.52
Br2 0.5000 0.0000 0.0000  2 Cs 3.52

***

Computed values of DOS at the Fermi energy (unit: states/eV/cell) for the preceding records, in sequence: 4.97; 5.77; 3.03; 3.11; 7.76; 20.10.
Computed values of magnetic moment (unit: μB/atom) for the preceding records, in sequence: 0.000; 0.000; 0.000; 0.000; 0.000; 1.364.